Entry 1:
Material: PmCd4B3Pt12
Method: DFT, PBE
State: relaxed

Lattice parameters (Å, degrees): 7.7567 7.7567 7.7567 109.47 109.47 109.47
Last column: nearest neighbours and their distance in Å.
Positions (direct):
Pm (0.0000, 0.0000, 0.0000)  6 Pt 2.56
Cd (0.5000, 0.5000, 0.5000)  12 Pt 3.17-3.18
Cd (0.0000, 0.0000, 0.5000)  12 Pt 3.17-3.18
Cd (0.5000, 0.0000, 0.0000)  12 Pt 3.17-3.18
Cd (0.0000, 0.5000, 0.0000)  12 Pt 3.17-3.18
B (0.5000, 0.0000, 0.5000)  2 Pt 1.92
B (0.5000, 0.5000, 0.0000)  2 Pt 1.92
B (0.0000, 0.5000, 0.5000)  2 Pt 1.92
Pt (0.2500, 0.5000, 0.7500)  2 B 2.24
Pt (0.7143, 0.0000, 0.7143)  1 B 1.92
Pt (0.2857, 0.0000, 0.2857)  1 B 1.92
Pt (0.7500, 0.5000, 0.2500)  2 B 2.24
Pt (0.7143, 0.7143, 0.0000)  1 B 1.92
Pt (0.2857, 0.2857, 0.0000)  1 B 1.92
Pt (0.7500, 0.2500, 0.5000)  2 B 2.24
Pt (0.2500, 0.7500, 0.5000)  2 B 2.24
Pt (0.5000, 0.2500, 0.7500)  2 B 2.24
Pt (0.0000, 0.7143, 0.7143)  1 B 1.92
Pt (0.5000, 0.7500, 0.2500)  2 B 2.24
Pt (0.0000, 0.2857, 0.2857)  1 B 1.92

Calculated values
E = -4.95 eV per atom
energy of formation = 101 meV/atom

Entry 2:
Material: Pm2CdB3Pt12
Method: DFT, PBE
State: relaxed

Lattice parameters (Å, degrees): 7.3941 7.3941 7.3941 65.82 65.82 65.82
Last column: nearest neighbours and their distance in Å.
Positions (direct):
Pm (0.6011, 0.6011, 0.6011)  6 Pt 2.88-3.08
Pm (0.3989, 0.3989, 0.3989)  6 Pt 2.88-3.08
Cd (0.0000, 0.0000, 0.0000)  6 Pt 2.58
B (0.5000, 0.0000, 0.0000)  6 Pt 2.12-2.17
B (0.0000, 0.5000, 0.0000)  6 Pt 2.12-2.17
B (0.0000, 0.0000, 0.5000)  6 Pt 2.12-2.17
Pt (0.3218, 0.3218, 0.9098)  2 B 2.17
Pt (0.8667, 0.8667, 0.3990)  1 B 2.12
Pt (0.3990, 0.8667, 0.8667)  1 B 2.12
Pt (0.9098, 0.3218, 0.3218)  2 B 2.17
Pt (0.8667, 0.3990, 0.8667)  1 B 2.12
Pt (0.3218, 0.9098, 0.3218)  2 B 2.17
Pt (0.6782, 0.6782, 0.0902)  2 B 2.17
Pt (0.1333, 0.1333, 0.6010)  1 B 2.12
Pt (0.6010, 0.1333, 0.1333)  1 B 2.12
Pt (0.0902, 0.6782, 0.6782)  2 B 2.17
Pt (0.1333, 0.6010, 0.1333)  1 B 2.12
Pt (0.6782, 0.0902, 0.6782)  2 B 2.17

Calculated values
E = -6.07 eV per atom
energy of formation = -355 meV/atom

Entry 3:
Material: Pm3Cd2BRu3
Method: DFT, PBE
State: relaxed

Lattice parameters (Å, degrees): 3.5110 7.7804 7.7804 120.00 90.00 90.00
Last column: nearest neighbours and their distance in Å.
Positions (direct):
Pm (0.0000, 0.0000, 0.3413)  1 B 2.66, 4 Ru 2.91
Pm (0.0000, 0.6587, 0.6587)  1 B 2.66, 4 Ru 2.91
Pm (0.0000, 0.3413, 0.0000)  1 B 2.66, 4 Ru 2.91
Cd (0.5000, 0.3333, 0.6667)  6 Pm 3.11, 3 Ru 3.19
Cd (0.5000, 0.6667, 0.3333)  6 Pm 3.11, 3 Ru 3.19
B (0.0000, 0.0000, 0.0000)  6 Ru 2.39, 3 Pm 2.66
Ru (0.5000, 0.7915, 0.0000)  2 B 2.39
Ru (0.5000, 0.2085, 0.2085)  2 B 2.39
Ru (0.5000, 0.0000, 0.7915)  2 B 2.39

Calculated values
E = -5.76 eV per atom
energy of formation = -137 meV/atom

Entry 4:
Material: PrCd4B3Pt12
Method: DFT, PBE
State: relaxed

Lattice parameters (Å, degrees): 7.7826 7.7826 7.7826 109.47 109.47 109.47
Last column: nearest neighbours and their distance in Å.
Positions (direct):
Pr (0.0000, 0.0000, 0.0000)  6 Pt 2.58
Cd (0.5000, 0.5000, 0.5000)  12 Pt 3.18-3.19
Cd (0.0000, 0.0000, 0.5000)  12 Pt 3.18-3.19
Cd (0.5000, 0.0000, 0.0000)  12 Pt 3.18-3.19
Cd (0.0000, 0.5000, 0.0000)  12 Pt 3.18-3.19
B (0.5000, 0.0000, 0.5000)  2 Pt 1.91
B (0.5000, 0.5000, 0.0000)  2 Pt 1.91
B (0.0000, 0.5000, 0.5000)  2 Pt 1.91
Pt (0.2500, 0.5000, 0.7500)  2 B 2.25
Pt (0.7127, 0.0000, 0.7127)  1 B 1.91
Pt (0.2873, 0.0000, 0.2873)  1 B 1.91
Pt (0.7500, 0.5000, 0.2500)  2 B 2.25
Pt (0.7127, 0.7127, 0.0000)  1 B 1.91
Pt (0.2873, 0.2873, 0.0000)  1 B 1.91
Pt (0.7500, 0.2500, 0.5000)  2 B 2.25
Pt (0.2500, 0.7500, 0.5000)  2 B 2.25
Pt (0.5000, 0.2500, 0.7500)  2 B 2.25
Pt (0.0000, 0.7127, 0.7127)  1 B 1.91
Pt (0.5000, 0.7500, 0.2500)  2 B 2.25
Pt (0.0000, 0.2873, 0.2873)  1 B 1.91

Calculated values
E = -4.92 eV per atom
energy of formation = 128 meV/atom

Entry 5:
Material: Pr2Cd2BPt4
Method: DFT, PBE
State: relaxed

Lattice parameters (Å, degrees): 6.1909 6.1909 6.1909 100.27 114.26 114.26
Last column: nearest neighbours and their distance in Å.
Positions (direct):
Pr (0.5000, 0.7500, 0.2500)  8 Pt 3.11, 4 Cd 3.41
Pr (0.5000, 0.2500, 0.7500)  8 Pt 3.11, 4 Cd 3.41
Cd (0.0000, 0.6791, 0.6791)  1 B 2.55, 1 Cd 2.84
Cd (0.0000, 0.3209, 0.3209)  1 B 2.55, 1 Cd 2.84
B (0.0000, 0.0000, 0.0000)  4 Pt 2.12
Pt (0.0000, 0.7768, 0.2232)  1 B 2.12
Pt (0.5536, 0.7768, 0.7768)  1 B 2.12
Pt (0.0000, 0.2232, 0.7768)  1 B 2.12
Pt (0.4464, 0.2232, 0.2232)  1 B 2.12

Calculated values
E = -5.32 eV per atom
energy of formation = -624 meV/atom

Entry 6:
Material: Pr2CdB3Pt12
Method: DFT, PBE
State: relaxed

Lattice parameters (Å, degrees): 7.4464 7.4464 7.4464 65.35 65.35 65.35
Last column: nearest neighbours and their distance in Å.
Positions (direct):
Pr (0.6022, 0.6022, 0.6022)  6 Pt 2.91-3.11
Pr (0.3978, 0.3978, 0.3978)  6 Pt 2.91-3.11
Cd (0.0000, 0.0000, 0.0000)  6 Pt 2.58
B (0.5000, 0.0000, 0.0000)  6 Pt 2.12-2.16
B (0.0000, 0.5000, 0.0000)  6 Pt 2.12-2.16
B (0.0000, 0.0000, 0.5000)  6 Pt 2.12-2.16
Pt (0.3210, 0.3210, 0.9110)  2 B 2.16
Pt (0.8694, 0.8694, 0.3981)  1 B 2.12
Pt (0.3981, 0.8694, 0.8694)  1 B 2.12
Pt (0.9110, 0.3210, 0.3210)  2 B 2.16
Pt (0.8694, 0.3981, 0.8694)  1 B 2.12
Pt (0.3210, 0.9110, 0.3210)  2 B 2.16
Pt (0.6790, 0.6790, 0.0890)  2 B 2.16
Pt (0.1306, 0.1306, 0.6019)  1 B 2.12
Pt (0.6019, 0.1306, 0.1306)  1 B 2.12
Pt (0.0890, 0.6790, 0.6790)  2 B 2.16
Pt (0.1306, 0.6019, 0.1306)  1 B 2.12
Pt (0.6790, 0.0890, 0.6790)  2 B 2.16

Calculated values
E = -6.07 eV per atom
energy of formation = -349 meV/atom

Entry 7:
Material: Pr3Cd2BRh3
Method: DFT, PBE
State: relaxed

Lattice parameters (Å, degrees): 3.5905 7.8810 7.8810 120.00 90.00 90.00
Last column: nearest neighbours and their distance in Å.
Positions (direct):
Pr (0.0000, 0.0000, 0.3493)  1 B 2.75, 4 Rh 2.99
Pr (0.0000, 0.6507, 0.6507)  1 B 2.75, 4 Rh 2.99
Pr (0.0000, 0.3493, 0.0000)  1 B 2.75, 4 Rh 2.99
Cd (0.5000, 0.3333, 0.6667)  6 Pr 3.13, 3 Rh 3.27
Cd (0.5000, 0.6667, 0.3333)  6 Pr 3.13, 3 Rh 3.27
B (0.0000, 0.0000, 0.0000)  6 Rh 2.40
Rh (0.5000, 0.7982, 0.0000)  2 B 2.40
Rh (0.5000, 0.2018, 0.2018)  2 B 2.40
Rh (0.5000, 0.0000, 0.7982)  2 B 2.40

Calculated values
E = -5.32 eV per atom
energy of formation = -328 meV/atom

Entry 8:
Material: CdBPt2
Method: DFT, PBE
State: relaxed

Lattice parameters (Å, degrees): 2.7973 2.7973 7.2627 90.00 90.00 90.00
Last column: nearest neighbours and their distance in Å.
Positions (direct):
B (0.5000, 0.5000, 0.0000)  8 Pt 2.39
Pt (0.0000, 0.0000, 0.8154)  4 B 2.39
Pt (0.0000, 0.0000, 0.1846)  4 B 2.39
Cd (0.5000, 0.5000, 0.5000)  4 Cd 2.80, 8 Pt 3.03

Calculated values
E = -4.96 eV per atom
energy of formation = -45 meV/atom

Entry 9:
Material: CdBPt2
Method: DFT, PBE
State: relaxed

Lattice parameters (Å, degrees): 3.2507 3.2507 6.9549 76.49 76.49 60.00
Last column: nearest neighbours and their distance in Å.
Positions (direct):
B (0.5000, 0.5000, 0.5000)  6 Pt 2.18
Pt (0.7777, 0.7777, 0.6669)  3 B 2.18
Pt (0.2223, 0.2223, 0.3331)  3 B 2.18
Cd (0.0000, 0.0000, 0.0000)  6 Pt 2.92, 6 Cd 3.25

Calculated values
E = -5.14 eV per atom
energy of formation = -218 meV/atom

Entry 10:
Material: Cd2B2Pt5
Method: DFT, PBE
State: relaxed

Lattice parameters (Å, degrees): 4.0887 5.7486 6.3936 90.93 87.41 110.51
Last column: nearest neighbours and their distance in Å.
Positions (direct):
Cd (0.5509, 0.1162, 0.7073)  8 Pt 2.76-2.94, 1 B 2.91, 1 Cd 2.93
Cd (0.4491, 0.8838, 0.2927)  8 Pt 2.76-2.94, 1 B 2.91, 1 Cd 2.93
B (0.7489, 0.6114, 0.8902)  4 Pt 2.04-2.22
B (0.2511, 0.3886, 0.1098)  4 Pt 2.04-2.22
Pt (0.7984, 0.5251, 0.2007)  3 B 2.09-2.30
Pt (0.2016, 0.4749, 0.7993)  3 B 2.09-2.30
Pt (0.8669, 0.7593, 0.5970)  1 B 2.04
Pt (0.1331, 0.2407, 0.4030)  1 B 2.04
Pt (0.0000, 0.0000, 0.0000)  2 B 2.22

Calculated values
E = -5.24 eV per atom
energy of formation = -194 meV/atom

Entry 11:
Material: Cd2BPt5
Method: DFT, PBE
State: relaxed

Lattice parameters (Å, degrees): 5.8292 5.8292 5.8292 87.43 121.49 121.49
Last column: nearest neighbours and their distance in Å.
Positions (direct):
Cd (0.5000, 0.2437, 0.7437)  10 Pt 2.85-2.92
Cd (0.5000, 0.7437, 0.2437)  10 Pt 2.85-2.92
B (0.0000, 0.0015, 0.0015)  5 Pt 2.07-2.14
Pt (0.4855, 0.7371, 0.7371)  1 B 2.07
Pt (0.0000, 0.7371, 0.2516)  1 B 2.07
Pt (0.0000, 0.2516, 0.7371)  1 B 2.07
Pt (0.5145, 0.2516, 0.2516)  1 B 2.07
Pt (0.0000, 0.2557, 0.2557)  1 B 2.14

Calculated values
E = -5.15 eV per atom
energy of formation = -315 meV/atom

Entry 12:
Material: Cd3BPt
Method: DFT, PBE
State: relaxed

Lattice parameters (Å, degrees): 4.5054 4.5054 4.5054 90.00 90.00 90.00
Last column: nearest neighbours and their distance in Å.
Positions (direct):
B (0.0000, 0.0000, 0.0000)  6 Cd 2.25
Pt (0.5000, 0.5000, 0.5000)  12 Cd 3.19
Cd (0.0000, 0.5000, 0.0000)  2 B 2.25
Cd (0.0000, 0.0000, 0.5000)  2 B 2.25
Cd (0.5000, 0.0000, 0.0000)  2 B 2.25

Calculated values
E = -2.61 eV per atom
energy of formation = 482 meV/atom

Q: What is the formula in the ninth record?
A: CdBPt2